# 1
Computed, not measured: a geometry-optimized SrAg3Te3 structure at the PBE-GGA level of DFT.

Output
As for the energy above the lowest structure with this stoichiometry: 218 meV per atom. For the density of states at the Fermi level, the calculation gives 4.77 states/eV per cell. The value obtained for the volume is 236.5 Å³/f.u. The value obtained for the raw formation energy is -0.278 eV/atom. Its space-group type is No. 223.

Unit cell a=7.7916 b=7.7916 c=7.7916 alpha=90.00 beta=90.00 gamma=90.00
Sites, in units of the cell vectors:
Sr (0.0000, 0.0000, 0.0000)
Sr (0.5000, 0.5000, 0.5000)
Ag (0.0000, 0.2500, 0.5000)
Ag (0.0000, 0.7500, 0.5000)
Ag (0.2500, 0.5000, 0.0000)
Ag (0.5000, 0.0000, 0.2500)
Ag (0.5000, 0.0000, 0.7500)
Ag (0.7500, 0.5000, 0.0000)
Te (0.0000, 0.5000, 0.2500)
Te (0.0000, 0.5000, 0.7500)
Te (0.2500, 0.0000, 0.5000)
Te (0.5000, 0.2500, 0.0000)
Te (0.5000, 0.7500, 0.0000)
Te (0.7500, 0.0000, 0.5000)

***

# 2
Computed, not measured: a geometry-optimized SrZnTcPt2 structure at the PBE-GGA level of DFT.

Output
The calculation puts the total energy at -23.34 eV for the cell shown. For the density of states at the Fermi level, the calculation gives 4.77 states/eV per cell. The value obtained for the volume is 108.9 Å³/f.u. Its space-group type is No. 123.

Unit cell a=4.8104 b=4.8104 c=4.7078 alpha=90.00 beta=90.00 gamma=90.00
Sites, in units of the cell vectors:
Sr (0.0000, 0.0000, 0.0000)
Zn (0.5000, 0.5000, 0.5000)
Tc (0.5000, 0.5000, 0.0000)
Pt (0.0000, 0.5000, 0.5000)
Pt (0.5000, 0.0000, 0.5000)

***

# 3
Computed, not measured: a geometry-optimized LiHfInNi structure at the PBE-GGA level of DFT.

Output
The calculation puts the total energy at -21.81 eV for the cell shown. The value obtained for the volume is 63.2 Å³/f.u. Its space-group type is No. 216.

Unit cell a=4.4703 b=4.4703 c=4.4703 alpha=60.00 beta=60.00 gamma=60.00
Sites, in units of the cell vectors:
Li (0.0000, 0.0000, 0.0000)
Hf (0.2500, 0.2500, 0.2500)
In (0.7500, 0.7500, 0.7500)
Ni (0.5000, 0.5000, 0.5000)

***

# 4
Computed, not measured: a geometry-optimized Y2GePRh6 structure at the PBE-GGA level of DFT.

Output
The calculation puts the total energy at -147.26 eV for the cell shown. For the density of states at the Fermi level, the calculation gives 13.39 states/eV per cell. The value obtained for the volume is 182.4 Å³/f.u. Its space-group type is No. 59.

Unit cell a=5.7188 b=8.6152 c=7.4061 alpha=90.00 beta=90.00 gamma=90.00
Sites, in units of the cell vectors:
Y (0.2500, 0.0272, 0.2218)
Y (0.2500, 0.4728, 0.2218)
Y (0.7500, 0.5272, 0.7782)
Y (0.7500, 0.9728, 0.7782)
Ge (0.2500, 0.7500, 0.7904)
Ge (0.7500, 0.2500, 0.2096)
P (0.2500, 0.2500, 0.7227)
P (0.7500, 0.7500, 0.2773)
Rh (0.0114, 0.7500, 0.0594)
Rh (0.0147, 0.7500, 0.5000)
Rh (0.2500, 0.9995, 0.6216)
Rh (0.2500, 0.5005, 0.6216)
Rh (0.4853, 0.7500, 0.5000)
Rh (0.4886, 0.7500, 0.0594)
Rh (0.5114, 0.2500, 0.9406)
Rh (0.5147, 0.2500, 0.5000)
Rh (0.7500, 0.0005, 0.3784)
Rh (0.7500, 0.4995, 0.3784)
Rh (0.9853, 0.2500, 0.5000)
Rh (0.9886, 0.2500, 0.9406)

***

# 5
Computed, not measured: a geometry-optimized La2CeSn2Hg2 structure at the PBE-GGA level of DFT.

Output
The calculation puts the total energy at -26.91 eV for the cell shown. For the density of states at the Fermi level, the calculation gives 11.36 states/eV per cell. The value obtained for the volume is 206.9 Å³/f.u. Its space-group type is No. 166.

Unit cell a=9.7893 b=9.7893 c=9.7893 alpha=29.94 beta=29.94 gamma=29.94
Sites, in units of the cell vectors:
La (0.1301, 0.1301, 0.1301)
La (0.8699, 0.8699, 0.8699)
Ce (0.0000, 0.0000, 0.0000)
Sn (0.2728, 0.2728, 0.2728)
Sn (0.7272, 0.7272, 0.7272)
Hg (0.4229, 0.4229, 0.4229)
Hg (0.5771, 0.5771, 0.5771)

***

# 6
Computed, not measured: a geometry-optimized HgP2PbS structure at the PBE-GGA level of DFT.

Output
As for the energy above the lowest structure with this stoichiometry: 0 meV per atom. For the density of states at the Fermi level, the calculation gives 4.26 states/eV per cell. The value obtained for the volume is 128.8 Å³/f.u. The value obtained for the raw formation energy is 0.875 eV/atom. Its space-group type is No. 123.

Unit cell a=4.9913 b=4.9913 c=5.1702 alpha=90.00 beta=90.00 gamma=90.00
Sites, in units of the cell vectors:
Hg (0.0000, 0.0000, 0.0000)
P (0.0000, 0.5000, 0.0000)
P (0.5000, 0.0000, 0.0000)
Pb (0.5000, 0.5000, 0.5000)
S (0.0000, 0.0000, 0.5000)